VASP calculation (PBE) on an optimized crystal structure of RbMnBiTe2.

```
data_RbMnBiTe2
_chemical_formula_sum 'Rb1 Mn1 Bi1 Te2'
_cell_length_a 6.029
_cell_length_b 6.660
_cell_length_c 6.029
_cell_angle_alpha 90.00
_cell_angle_beta 90.00
_cell_angle_gamma 90.00
_symmetry_space_group_name_H-M 'P 1'
_symmetry_Int_Tables_number 1
loop_
_symmetry_equiv_pos_as_xyz
'x,y,z'
loop_
_atom_site_label
_atom_site_type_symbol
_atom_site_fract_x
_atom_site_fract_y
_atom_site_fract_z
Mn1 Mn 0.500 0.500 0.500
Te1 Te 0.000 0.000 0.500
Te2 Te 0.500 0.000 0.000
Bi1 Bi 0.000 0.000 0.000
Rb1 Rb 0.000 0.500 0.000
```

Results
Total DFT energy (no corrections) = -3.44 eV/atom
Fermi-level density of states = 0.54 states/eV per atom